Density functional theory data (PBE-GGA) for CsRb2NaTl after structural relaxation.

```
CsRb2NaTl
1.0
-3.501 4.876 4.323
-3.105 -5.562 3.760
4.770 -0.029 3.896
Cs Tl Rb Na
1 1 2 1
Cartesian
-0.918 -0.357 5.989 Cs
2.385 -0.015 1.948 Tl
-1.553 -2.781 1.880 Rb
-1.750 2.438 2.161 Rb
0.000 0.000 0.000 Na
```

Properties
- Volume: 336.99 Å³ per cell
- DFT formation energy: 0.10 eV/atom
- Relative energy among the computed polymorphs: 74 meV/atom
- M_tot: 0.000 μB/atom
- DFT total energy: -5.96 eV/cell
- Density: 2618 kg/m3